A geometry-optimized BiHW2 structure. Source: Alexandria via LeMat-Bulk, functional GGA-PBE.

Cell lengths 4.5243, 4.5243, 4.5243 Å; angles 60.00, 60.00, 60.00 degrees
With the nearest neighbours (Å) after each atom.
Fractional positions:
Bi 0.0000 0.0000 0.0000  8 W 2.77
H 0.5000 0.5000 0.5000  8 W 2.77
W 0.2500 0.2500 0.2500  4 H 2.77, 4 Bi 2.77
W 0.7500 0.7500 0.7500  4 H 2.77, 4 Bi 2.77

ΔE to the lowest computed polymorph = 0.8448 eV per atom
Total magnetization = 0.00 μB/f.u.
ρ = 14.6 g cm⁻³